i:
TaHg3B: relaxed, PBE.

Cell: 4.5783 4.5783 4.5783 Å, 90.00 90.00 90.00°
Closest atoms and distances in Å follow each position.
Atoms (fractional coordinates):
Ta (0.0000, 0.0000, 0.0000)  12 Hg 3.24
Hg (0.0000, 0.5000, 0.5000)  2 B 2.29
Hg (0.5000, 0.0000, 0.5000)  2 B 2.29
Hg (0.5000, 0.5000, 0.0000)  2 B 2.29
B (0.5000, 0.5000, 0.5000)  6 Hg 2.29

Computed properties:
V in A^3/atom: 19.2

ii:
TaHg3B: relaxed, PBE.

Cell: 5.4239 5.4239 5.4239 Å, 90.00 90.00 90.00°
Closest atoms and distances in Å follow each position.
Atoms (fractional coordinates):
Ta (0.0000, 0.0000, 0.0000)  6 Hg 2.71
Hg (0.0000, 0.0000, 0.5000)  2 Ta 2.71
Hg (0.0000, 0.5000, 0.0000)  2 Ta 2.71
Hg (0.5000, 0.0000, 0.0000)  2 Ta 2.71
B (0.5000, 0.5000, 0.5000)  12 Hg 3.84

Computed properties:
V in A^3/atom: 31.9

Which structure is most stable? i, by 566 meV/atom over the runner-up.

i:
Ta2HgB: relaxed, PBE.

Cell: 4.4879 4.4879 4.4879 Å, 60.00 60.00 60.00°
Closest atoms and distances in Å follow each position.
Atoms (fractional coordinates):
Ta (0.2500, 0.2500, 0.2500)  4 Hg 2.75, 4 B 2.75
Ta (0.7500, 0.7500, 0.7500)  4 Hg 2.75, 4 B 2.75
Hg (0.0000, 0.0000, 0.0000)  8 Ta 2.75
B (0.5000, 0.5000, 0.5000)  8 Ta 2.75

Computed properties:
V in A^3/atom: 16.0

ii:
Ta2HgB: relaxed, PBE.

Cell: 5.6136 5.6136 5.6136 Å, 104.74 104.74 119.43°
Closest atoms and distances in Å follow each position.
Atoms (fractional coordinates):
Ta (0.0685, 0.6250, 0.9435)  2 B 2.28
Ta (0.3750, 0.3185, 0.4435)  2 B 2.28
Ta (0.6815, 0.1250, 0.0565)  2 B 2.28
Ta (0.8750, 0.9315, 0.5565)  2 B 2.28
Hg (0.2500, 0.7500, 0.5000)  8 Ta 2.80-3.03, 2 B 2.83
Hg (0.5000, 0.5000, 0.0000)  8 Ta 2.80-3.03, 2 B 2.83
B (0.0000, 0.0000, 0.0000)  4 Ta 2.28
B (0.7500, 0.2500, 0.5000)  4 Ta 2.28

Computed properties:
V in A^3/atom: 16.6

Which structure is most stable? ii, by 363 meV/atom over the runner-up.

i:
TaHgB3: relaxed, PBE.

Cell: 4.3629 4.3629 4.3629 Å, 90.00 90.00 90.00°
Closest atoms and distances in Å follow each position.
Atoms (fractional coordinates):
Ta (0.0000, 0.0000, 0.0000)  6 B 2.18
Hg (0.5000, 0.5000, 0.5000)  12 B 3.09
B (0.0000, 0.0000, 0.5000)  2 Ta 2.18
B (0.0000, 0.5000, 0.0000)  2 Ta 2.18
B (0.5000, 0.0000, 0.0000)  2 Ta 2.18

Computed properties:
V in A^3/atom: 16.6

ii:
TaHgB3: relaxed, PBE.

Cell: 4.2130 4.2130 4.2130 Å, 90.00 90.00 90.00°
Closest atoms and distances in Å follow each position.
Atoms (fractional coordinates):
Ta (0.0000, 0.0000, 0.0000)  12 B 2.98
Hg (0.5000, 0.5000, 0.5000)  6 B 2.11
B (0.0000, 0.5000, 0.5000)  2 Hg 2.11
B (0.5000, 0.0000, 0.5000)  2 Hg 2.11
B (0.5000, 0.5000, 0.0000)  2 Hg 2.11

Computed properties:
V in A^3/atom: 15.0

Which structure is most stable? i, by 936 meV/atom over the runner-up.

i:
TcHgB3: relaxed, PBE.

Cell: 4.1801 4.1801 4.1801 Å, 90.00 90.00 90.00°
Closest atoms and distances in Å follow each position.
Atoms (fractional coordinates):
Tc (0.0000, 0.0000, 0.0000)  6 B 2.09
Hg (0.5000, 0.5000, 0.5000)  12 B 2.96
B (0.0000, 0.0000, 0.5000)  2 Tc 2.09
B (0.0000, 0.5000, 0.0000)  2 Tc 2.09
B (0.5000, 0.0000, 0.0000)  2 Tc 2.09

Computed properties:
V in A^3/atom: 14.6

ii:
TcHgB3: relaxed, PBE.

Cell: 4.2551 4.2551 4.2551 Å, 90.00 90.00 90.00°
Closest atoms and distances in Å follow each position.
Atoms (fractional coordinates):
Tc (0.0000, 0.0000, 0.0000)  12 B 3.01
Hg (0.5000, 0.5000, 0.5000)  6 B 2.13
B (0.0000, 0.5000, 0.5000)  2 Hg 2.13
B (0.5000, 0.0000, 0.5000)  2 Hg 2.13
B (0.5000, 0.5000, 0.0000)  2 Hg 2.13

Computed properties:
V in A^3/atom: 15.4

Which structure is most stable? i, by 1481 meV/atom over the runner-up.

i:
Tc2HgB: relaxed, PBE.

Cell: 7.9323 7.9323 7.9323 Å, 147.61 147.61 46.46°
Closest atoms and distances in Å follow each position.
Atoms (fractional coordinates):
Tc (0.3750, 0.2411, 0.3661)  2 B 2.19, 2 Tc 2.44
Tc (0.7589, 0.1250, 0.1339)  2 B 2.19, 2 Tc 2.44
Tc (0.8750, 0.0089, 0.6339)  2 B 2.19, 2 Tc 2.44
Tc (0.9911, 0.6250, 0.8661)  2 B 2.19, 2 Tc 2.44
Hg (0.2500, 0.7500, 0.5000)  4 Tc 2.73
Hg (0.5000, 0.5000, 0.0000)  4 Tc 2.73
B (0.0000, 0.0000, 0.0000)  4 Tc 2.19
B (0.7500, 0.2500, 0.5000)  4 Tc 2.19

Computed properties:
V in A^3/atom: 17.8

ii:
Tc2HgB: relaxed, PBE.

Cell: 4.3110 4.3110 4.3110 Å, 60.00 60.00 60.00°
Closest atoms and distances in Å follow each position.
Atoms (fractional coordinates):
Tc (0.2500, 0.2500, 0.2500)  4 B 2.64, 4 Hg 2.64
Tc (0.7500, 0.7500, 0.7500)  4 B 2.64, 4 Hg 2.64
Hg (0.0000, 0.0000, 0.0000)  8 Tc 2.64
B (0.5000, 0.5000, 0.5000)  8 Tc 2.64

Computed properties:
V in A^3/atom: 14.2

Which structure is most stable? i, by 15 meV/atom over the runner-up.

i:
Hg2B2Te: relaxed, PBE.

Cell: 6.5325 6.5325 4.4993 Å, 90.00 90.00 90.00°
Closest atoms and distances in Å follow each position.
Atoms (fractional coordinates):
Hg (0.1626, 0.3374, 0.0000)  2 B 2.35
Hg (0.3374, 0.8374, 0.0000)  2 B 2.35
Hg (0.6626, 0.1626, 0.0000)  2 B 2.35
Hg (0.8374, 0.6626, 0.0000)  2 B 2.35
B (0.0900, 0.4100, 0.5000)  1 B 1.66
B (0.4100, 0.9100, 0.5000)  1 B 1.66
B (0.5900, 0.0900, 0.5000)  1 B 1.66
B (0.9100, 0.5900, 0.5000)  1 B 1.66
Te (0.0000, 0.0000, 0.5000)  4 B 2.74
Te (0.5000, 0.5000, 0.5000)  4 B 2.74

Computed properties:
V in A^3/atom: 19.2

ii:
Hg2B2Te: relaxed, PBE.

Cell: 5.9085 5.9085 5.9085 Å, 137.83 137.83 61.16°
Closest atoms and distances in Å follow each position.
Atoms (fractional coordinates):
Hg (0.2500, 0.7500, 0.5000)  4 B 2.73, 4 Hg 3.01
Hg (0.7500, 0.2500, 0.5000)  4 B 2.73, 4 Hg 3.01
B (0.0815, 0.0815, 0.0000)  1 B 1.66
B (0.9185, 0.9185, 0.0000)  1 B 1.66
Te (0.5000, 0.5000, 0.0000)  8 B 3.12, 8 Hg 3.31

Computed properties:
V in A^3/atom: 18.4

Which structure is most stable? i, by 312 meV/atom over the runner-up.

i:
HgBTe2: relaxed, PBE.

Cell: 7.5833 7.5833 7.5833 Å, 39.60 39.60 39.60°
Closest atoms and distances in Å follow each position.
Atoms (fractional coordinates):
Hg (0.0000, 0.0000, 0.0000)  6 Te 3.30
B (0.5000, 0.5000, 0.5000)  2 Te 2.04
Te (0.4028, 0.4028, 0.4028)  1 B 2.04
Te (0.5972, 0.5972, 0.5972)  1 B 2.04

Computed properties:
V in A^3/atom: 39.9

ii:
HgBTe2: relaxed, PBE.

Cell: 6.5840 6.5840 6.5840 Å, 116.89 116.89 95.47°
Closest atoms and distances in Å follow each position.
Atoms (fractional coordinates):
Hg (0.0000, 0.0000, 0.0000)  4 Te 3.13
Hg (0.7500, 0.2500, 0.5000)  4 Te 3.13
B (0.2500, 0.7500, 0.5000)  4 Te 2.31
B (0.5000, 0.5000, 0.0000)  4 Te 2.31
Te (0.2194, 0.6250, 0.0944)  2 B 2.31
Te (0.3750, 0.4694, 0.5944)  2 B 2.31
Te (0.5306, 0.1250, 0.9056)  2 B 2.31
Te (0.8750, 0.7806, 0.4056)  2 B 2.31

Computed properties:
V in A^3/atom: 26.3

Which structure is most stable? ii, by 168 meV/atom over the runner-up.

i:
HgBTe2: relaxed, PBE.

Cell: 11.0305 11.0305 11.0305 Å, 17.86 17.86 17.86°
Closest atoms and distances in Å follow each position.
Atoms (fractional coordinates):
Hg (0.0000, 0.0000, 0.0000)  6 Hg 3.42
B (0.5000, 0.5000, 0.5000)  6 Te 2.49
Te (0.1204, 0.1204, 0.1204)  3 B 2.49
Te (0.8796, 0.8796, 0.8796)  3 B 2.49

Computed properties:
V in A^3/atom: 27.6

ii:
HgBTe2: relaxed, PBE.

Cell: 5.1002 5.1002 5.1002 Å, 60.00 60.00 60.00°
Closest atoms and distances in Å follow each position.
Atoms (fractional coordinates):
Hg (0.0000, 0.0000, 0.0000)  8 Te 3.12
B (0.5000, 0.5000, 0.5000)  8 Te 3.12
Te (0.2500, 0.2500, 0.2500)  4 B 3.12, 4 Hg 3.12
Te (0.7500, 0.7500, 0.7500)  4 Hg 3.12, 4 B 3.12

Computed properties:
V in A^3/atom: 23.5

Which structure is most stable? i, by 607 meV/atom over the runner-up.

i:
HgBTe3: relaxed, PBE.

Cell: 4.9654 4.9654 4.9654 Å, 90.00 90.00 90.00°
Closest atoms and distances in Å follow each position.
Atoms (fractional coordinates):
Hg (0.0000, 0.0000, 0.0000)  12 Te 3.51
B (0.5000, 0.5000, 0.5000)  6 Te 2.48
Te (0.0000, 0.5000, 0.5000)  2 B 2.48
Te (0.5000, 0.0000, 0.5000)  2 B 2.48
Te (0.5000, 0.5000, 0.0000)  2 B 2.48

Computed properties:
V in A^3/atom: 24.5

ii:
HgBTe3: relaxed, PBE.

Cell: 5.6260 5.6260 5.6260 Å, 90.00 90.00 90.00°
Closest atoms and distances in Å follow each position.
Atoms (fractional coordinates):
Hg (0.0000, 0.0000, 0.0000)  6 Te 2.81
B (0.5000, 0.5000, 0.5000)  12 Te 3.98
Te (0.0000, 0.0000, 0.5000)  2 Hg 2.81
Te (0.0000, 0.5000, 0.0000)  2 Hg 2.81
Te (0.5000, 0.0000, 0.0000)  2 Hg 2.81

Computed properties:
V in A^3/atom: 35.6

Which structure is most stable? i, by 836 meV/atom over the runner-up.

i:
Ti2HgB: relaxed, PBE.

Cell: 5.5622 5.5622 5.5622 Å, 106.08 106.08 116.49°
Closest atoms and distances in Å follow each position.
Atoms (fractional coordinates):
Ti (0.0577, 0.6250, 0.9327)  2 B 2.20
Ti (0.3750, 0.3077, 0.4327)  2 B 2.20
Ti (0.6923, 0.1250, 0.0673)  2 B 2.20
Ti (0.8750, 0.9423, 0.5673)  2 B 2.20
Hg (0.2500, 0.7500, 0.5000)  8 Ti 2.80-3.02, 2 B 2.93
Hg (0.5000, 0.5000, 0.0000)  8 Ti 2.80-3.02, 2 B 2.93
B (0.0000, 0.0000, 0.0000)  4 Ti 2.20
B (0.7500, 0.2500, 0.5000)  4 Ti 2.20

Computed properties:
V in A^3/atom: 16.4

ii:
Ti2HgB: relaxed, PBE.

Cell: 4.4234 4.4234 4.4234 Å, 60.00 60.00 60.00°
Closest atoms and distances in Å follow each position.
Atoms (fractional coordinates):
Ti (0.2500, 0.2500, 0.2500)  4 Hg 2.71, 4 B 2.71
Ti (0.7500, 0.7500, 0.7500)  4 Hg 2.71, 4 B 2.71
Hg (0.0000, 0.0000, 0.0000)  8 Ti 2.71
B (0.5000, 0.5000, 0.5000)  8 Ti 2.71

Computed properties:
V in A^3/atom: 15.3

Which structure is most stable? i, by 149 meV/atom over the runner-up.

i:
TlHgB3: relaxed, PBE.

Cell: 4.5159 4.5159 4.5159 Å, 90.00 90.00 90.00°
Closest atoms and distances in Å follow each position.
Atoms (fractional coordinates):
Tl (0.0000, 0.0000, 0.0000)  12 B 3.19
Hg (0.5000, 0.5000, 0.5000)  6 B 2.26
B (0.0000, 0.5000, 0.5000)  2 Hg 2.26
B (0.5000, 0.0000, 0.5000)  2 Hg 2.26
B (0.5000, 0.5000, 0.0000)  2 Hg 2.26

Computed properties:
V in A^3/atom: 18.4

ii:
TlHgB3: relaxed, PBE.

Cell: 4.6563 4.6563 4.6563 Å, 90.00 90.00 90.00°
Closest atoms and distances in Å follow each position.
Atoms (fractional coordinates):
Tl (0.0000, 0.0000, 0.0000)  6 B 2.33
Hg (0.5000, 0.5000, 0.5000)  12 B 3.29
B (0.0000, 0.0000, 0.5000)  2 Tl 2.33
B (0.0000, 0.5000, 0.0000)  2 Tl 2.33
B (0.5000, 0.0000, 0.0000)  2 Tl 2.33

Computed properties:
V in A^3/atom: 20.2

Which structure is most stable? i, by 260 meV/atom over the runner-up.

i:
HgB3W: relaxed, PBE.

Cell: 4.1830 4.1830 4.1830 Å, 90.00 90.00 90.00°
Closest atoms and distances in Å follow each position.
Atoms (fractional coordinates):
Hg (0.0000, 0.0000, 0.0000)  6 B 2.09
B (0.0000, 0.0000, 0.5000)  2 Hg 2.09
B (0.0000, 0.5000, 0.0000)  2 Hg 2.09
B (0.5000, 0.0000, 0.0000)  2 Hg 2.09
W (0.5000, 0.5000, 0.5000)  12 B 2.96

Computed properties:
V in A^3/atom: 14.6

ii:
HgB3W: relaxed, PBE.

Cell: 4.2675 4.2675 4.2675 Å, 90.00 90.00 90.00°
Closest atoms and distances in Å follow each position.
Atoms (fractional coordinates):
Hg (0.0000, 0.0000, 0.0000)  12 B 3.02
B (0.0000, 0.5000, 0.5000)  2 W 2.13
B (0.5000, 0.0000, 0.5000)  2 W 2.13
B (0.5000, 0.5000, 0.0000)  2 W 2.13
W (0.5000, 0.5000, 0.5000)  6 B 2.13

Computed properties:
V in A^3/atom: 15.5

Which structure is most stable? ii, by 1454 meV/atom over the runner-up.

i:
Hg3BW: relaxed, PBE.

Cell: 5.3331 5.3331 5.3331 Å, 90.00 90.00 90.00°
Closest atoms and distances in Å follow each position.
Atoms (fractional coordinates):
Hg (0.0000, 0.0000, 0.5000)  2 W 2.67
Hg (0.0000, 0.5000, 0.0000)  2 W 2.67
Hg (0.5000, 0.0000, 0.0000)  2 W 2.67
B (0.5000, 0.5000, 0.5000)  12 Hg 3.77
W (0.0000, 0.0000, 0.0000)  6 Hg 2.67

Computed properties:
V in A^3/atom: 30.3

ii:
Hg3BW: relaxed, PBE.

Cell: 4.6119 4.6119 4.6119 Å, 90.00 90.00 90.00°
Closest atoms and distances in Å follow each position.
Atoms (fractional coordinates):
Hg (0.0000, 0.0000, 0.5000)  2 B 2.31
Hg (0.0000, 0.5000, 0.0000)  2 B 2.31
Hg (0.5000, 0.0000, 0.0000)  2 B 2.31
B (0.0000, 0.0000, 0.0000)  6 Hg 2.31
W (0.5000, 0.5000, 0.5000)  12 Hg 3.26

Computed properties:
V in A^3/atom: 19.6

Which structure is most stable? ii, by 424 meV/atom over the runner-up.